DFT (PBE) results for a geometry-optimized TbLuPt4 structure.

```
TbLuPt4
1.0
0.000 3.832 3.832
3.832 0.000 3.832
3.832 3.832 0.000
Tb Lu Pt
1 1 4
Cartesian
0.000 0.000 0.000
5.748 5.748 5.748
2.876 2.876 2.876
4.788 4.788 2.876
4.788 2.876 4.788
2.876 4.788 4.788
```

Results
Total magnetization: 0.0 Bohr magnetons per cell
Space group: F-43m
Uncorrected energy: -40.02 eV per cell

=====

DFT (PBE) results for a geometry-optimized TbLuTlPt structure.

```
TbLuTlPt
1.0
0.000 3.615 3.615
3.615 0.000 3.615
3.615 3.615 0.000
Tb Lu Tl Pt
1 1 1 1
Cartesian
0.000 0.000 0.000
3.615 3.615 3.615
5.423 5.423 5.423
1.808 1.808 1.808
```

Results
Total magnetization: 0.0 Bohr magnetons per cell
Space group: F-43m
Uncorrected energy: -20.36 eV per cell

=====

DFT (PBE) results for a geometry-optimized Lu2TcPt structure.

```
Lu2TcPt
1.0
3.433 0.000 0.000
0.000 3.433 0.000
0.000 0.000 6.605
Lu Tc Pt
2 1 1
Cartesian
0.000 0.000 1.630
0.000 0.000 4.975
1.717 1.717 0.000
1.717 1.717 3.303
```

Results
Total magnetization: 0.0 Bohr magnetons per cell
Space group: P4/mmm
Uncorrected energy: -28.23 eV per cell

=====

DFT (PBE) results for a geometry-optimized LuTiTcPt structure.

```
LuTiTcPt
1.0
0.000 3.249 3.249
3.249 0.000 3.249
3.249 3.249 0.000
Lu Ti Tc Pt
1 1 1 1
Cartesian
0.000 0.000 0.000
3.249 3.249 3.249
4.873 4.873 4.873
1.624 1.624 1.624
```

Results
Total magnetization: 0.0 Bohr magnetons per cell
Space group: F-43m
Uncorrected energy: -31.52 eV per cell

=====

DFT (PBE) results for a geometry-optimized LuTe2Pt structure.

```
LuTe2Pt
1.0
1.971 1.138 8.923
-1.971 1.138 8.923
0.000 -2.276 8.923
Lu Te Pt
1 2 1
Cartesian
0.000 0.000 0.000
0.000 0.000 2.988
0.000 0.000 23.779
0.000 0.000 13.384
```

Results
Total magnetization: 0.0 Bohr magnetons per cell
Space group: R-3m
Uncorrected energy: -17.73 eV per cell

=====

DFT (PBE) results for a geometry-optimized LuThPt4 structure.

```
LuThPt4
1.0
0.000 3.867 3.867
3.867 0.000 3.867
3.867 3.867 0.000
Lu Th Pt
1 1 4
Cartesian
0.000 0.000 0.000
5.801 5.801 5.801
2.896 2.896 2.896
4.839 4.839 2.896
4.839 2.896 4.839
2.896 4.839 4.839
```

Results
Total magnetization: 0.0 Bohr magnetons per cell
Space group: F-43m
Uncorrected energy: -42.68 eV per cell

=====

DFT (PBE) results for a geometry-optimized LuTh2Pt structure.

```
LuTh2Pt
1.0
1.842 1.063 10.594
-1.842 1.063 10.594
0.000 -2.127 10.594
Lu Th Pt
1 2 1
Cartesian
0.000 0.000 0.000
0.000 0.000 3.304
0.000 0.000 28.477
0.000 0.000 15.890
```

Results
Total magnetization: 0.0 Bohr magnetons per cell
Space group: R-3m
Uncorrected energy: -25.87 eV per cell

=====

DFT (PBE) results for a geometry-optimized LuThPt structure.

```
LuThPt
1.0
0.000 3.476 3.476
3.476 0.000 3.476
3.476 3.476 0.000
Lu Th Pt
1 1 1
Cartesian
0.000 0.000 0.000
3.476 3.476 3.476
5.214 5.214 5.214
```

Results
Total magnetization: 0.0 Bohr magnetons per cell
Space group: F-43m
Uncorrected energy: -20.15 eV per cell

=====

DFT (PBE) results for a geometry-optimized LuTiPt2 structure.

```
LuTiPt2
1.0
2.232 1.289 4.401
-2.232 1.289 4.401
0.000 -2.577 4.401
Lu Ti Pt
1 1 2
Cartesian
0.000 0.000 0.000
0.000 0.000 6.601
0.000 0.000 2.880
0.000 0.000 10.322
```

Results
Total magnetization: 0.0 Bohr magnetons per cell
Space group: R-3m
Excess energy over the best structure of this formula in the dataset: 16 meV per atom
Uncorrected energy: -28.58 eV per cell

=====

DFT (PBE) results for a geometry-optimized LuTiPt structure.

```
LuTiPt
1.0
-1.471 1.471 7.327
1.471 -1.471 7.327
1.471 1.471 -7.327
Lu Ti Pt
1 1 1
Cartesian
0.000 0.000 0.000
0.000 0.000 9.586
0.000 0.000 11.994
```

Results
Total magnetization: 0.2 Bohr magnetons per cell
Space group: I4mm
Uncorrected energy: -17.99 eV per cell

=====

DFT (PBE) results for a geometry-optimized LuTiPt2 structure.

```
LuTiPt2
1.0
4.884 0.000 0.000
0.000 4.884 0.000
0.000 0.000 2.991
Lu Ti Pt
1 1 2
Cartesian
0.000 0.000 0.000
2.442 2.442 0.000
0.000 2.442 1.496
2.442 0.000 1.496
```

Results
Total magnetization: 0.0 Bohr magnetons per cell
Space group: P4/mmm
Excess energy over the best structure of this formula in the dataset: 65 meV per atom
Uncorrected energy: -28.39 eV per cell

=====

DFT (PBE) results for a geometry-optimized LuTiPt2 structure.

```
LuTiPt2
1.0
3.213 0.000 0.000
0.000 3.213 0.000
0.000 0.000 6.976
Lu Ti Pt
1 1 2
Cartesian
0.000 0.000 0.000
0.000 0.000 3.488
1.606 1.606 1.996
1.606 1.606 4.979
```

Results
Total magnetization: 0.0 Bohr magnetons per cell
Space group: P4/mmm
Excess energy over the best structure of this formula in the dataset: 0 meV per atom
Uncorrected energy: -28.65 eV per cell